No. 1
DFT (GGA-PBE) results for crystalline CeI2Cl4 at its relaxed geometry.

Results
* ΔE_f (raw): -1.289 eV per atom
* symmetry: C2/m (12)

The structure in CIF format:
```
data_CeI2Cl4
_space_group_name_H-M_alt 'P 1'
_space_group_IT_number 1
_space_group_name_Hall 'P 1'
_cell_length_a 4.584
_cell_length_b 4.583
_cell_length_c 11.402
_cell_angle_alpha 101.81
_cell_angle_beta 101.60
_cell_angle_gamma 90.00
loop_
_atom_site_label
_atom_site_fract_x
_atom_site_fract_y
_atom_site_fract_z
_atom_site_occupancy
Cl1 0.573 0.074 0.146 1
Cl2 0.073 0.574 0.146 1
Cl3 0.427 0.926 0.854 1
Cl4 0.927 0.426 0.854 1
Ce1 0.000 0.000 0.000 1
I1 0.750 0.750 0.500 1
I2 0.250 0.250 0.500 1
```

No. 2
DFT (GGA-PBE) results for crystalline Ce3ICl7 at its relaxed geometry.

Results
* ΔE_f (raw): -2.015 eV per atom
* symmetry: P3m1 (156)

The structure in CIF format:
```
data_Ce3ICl7
_space_group_name_H-M_alt 'P 1'
_space_group_IT_number 1
_space_group_name_Hall 'P 1'
_cell_length_a 6.943
_cell_length_b 8.728
_cell_length_c 8.728
_cell_angle_alpha 120.00
_cell_angle_beta 90.00
_cell_angle_gamma 90.00
loop_
_atom_site_label
_atom_site_fract_x
_atom_site_fract_y
_atom_site_fract_z
_atom_site_occupancy
Cl1 0.586 0.817 0.183 1
Cl2 0.991 0.182 0.818 1
Cl3 0.991 0.182 0.364 1
Cl4 0.011 0.667 0.333 1
Cl5 0.991 0.636 0.818 1
Cl6 0.586 0.817 0.634 1
Cl7 0.586 0.366 0.183 1
Ce1 0.792 0.502 0.498 1
Ce2 0.792 0.997 0.498 1
Ce3 0.792 0.502 0.003 1
I1 0.498 0.333 0.667 1
```

No. 3
DFT (GGA-PBE) results for crystalline Ce3I7Cl at its relaxed geometry.

Results
* ΔE_f (raw): -1.410 eV per atom
* symmetry: P3m1 (156)

The structure in CIF format:
```
data_Ce3I7Cl
_space_group_name_H-M_alt 'P 1'
_space_group_IT_number 1
_space_group_name_Hall 'P 1'
_cell_length_a 7.451
_cell_length_b 9.099
_cell_length_c 9.099
_cell_angle_alpha 120.00
_cell_angle_beta 90.00
_cell_angle_gamma 90.00
loop_
_atom_site_label
_atom_site_fract_x
_atom_site_fract_y
_atom_site_fract_z
_atom_site_occupancy
Ce1 0.775 0.006 0.503 1
Ce2 0.775 0.497 0.994 1
Ce3 0.775 0.497 0.503 1
I1 0.021 0.169 0.339 1
I2 0.536 0.831 0.169 1
I3 0.536 0.831 0.661 1
I4 0.021 0.169 0.831 1
I5 0.021 0.661 0.831 1
I6 0.536 0.339 0.169 1
I7 0.024 0.667 0.333 1
Cl1 0.596 0.333 0.667 1
```